{
  "formula": "CsTcPd",
  "functional": "PBE",
  "state": "optimized geometry",
  "cell": [[9.0964, 0.0000, 0.0000], [0.0000, 3.5533, 0.0000], [0.0000, 0.0000, 11.5075]],
  "species": ["Cs", "Cs", "Cs", "Cs", "Tc", "Tc", "Tc", "Tc", "Pd", "Pd", "Pd", "Pd"],
  "frac_coords": [[0.0713, 0.2500, 0.1723], [0.4287, 0.7500, 0.6723], [0.5713, 0.2500, 0.3277], [0.9287, 0.7500, 0.8277], [0.0711, 0.2500, 0.5282], [0.4289, 0.7500, 0.0282], [0.5711, 0.2500, 0.9718], [0.9289, 0.7500, 0.4718], [0.2273, 0.7500, 0.4067], [0.2727, 0.2500, 0.9067], [0.7273, 0.7500, 0.0933], [0.7727, 0.2500, 0.5933]],
  "energy_ev_per_atom": -4.8092,
  "dos_at_fermi_per_ev_fu": 2.89,
  "de_polymorph_mev_per_atom": 387,
  "ef_ev_per_atom": 0.662,
  "magmom_total_mub_per_fu": 0.00,
  "rho_g_cm3": 6.0
}